VASP calculation (PBE) on a relaxed structure of CsPbS2. Values from VASP.

Geometry as Quantum ESPRESSO input:
```
&SYSTEM
  ibrav = 0, nat = 4, ntyp = 3
/
ATOMIC_SPECIES
Pb 207.20 Pb.upf
Cs 132.91 Cs.upf
S 32.06 S.upf
ATOMIC_POSITIONS angstrom
Pb 1.840 1.840 0.000
Cs 1.840 1.840 4.181
S 0.000 0.000 6.648
S 0.000 0.000 1.715
CELL_PARAMETERS angstrom
3.681 0.000 0.000
0.000 3.681 0.000
0.000 0.000 8.362
```

Output
Density of states at the Fermi level, states/eV per atom: 1.0425
Raw total energy, eV/cell: -14.5